[1]
Here is crystalline HfIn2SnH at its relaxed geometry from the Alexandria database. Energies are from PBE.

Values from the calculation:
For the magnetization, the calculation gives 0.0 μB/cell. The space-group type is No. 123. Its crystal system is tetragonal.

a = 5.816 Å, b = 5.816 Å, c = 3.631 Å
α = 90.00°, β = 90.00°, γ = 90.00°
Element x y z (fractional)
Hf 0.000 0.000 0.000
In 0.000 0.500 0.000
In 0.500 0.000 0.000
Sn 0.500 0.500 0.500
H 0.000 0.000 0.500

[2]
Here is crystalline HfTi2InH at its relaxed geometry from the Alexandria database. Energies are from PBE.

Values from the calculation:
For the energy above the lowest structure with this stoichiometry, the calculation gives 0 meV per atom. For the magnetization, the calculation gives 0.0 μB/cell. The space-group type is No. 123. Its crystal system is tetragonal.

a = 4.262 Å, b = 4.262 Å, c = 4.275 Å
α = 90.00°, β = 90.00°, γ = 90.00°
Element x y z (fractional)
Hf 0.000 0.000 0.000
Ti 0.000 0.500 0.500
Ti 0.500 0.000 0.500
In 0.500 0.500 0.000
H 0.000 0.000 0.500

[3]
Here is crystalline Hf2TiInH at its relaxed geometry from the Alexandria database. Energies are from PBE.

Values from the calculation:
For the energy above the lowest structure with this stoichiometry, the calculation gives 147 meV per atom. For the magnetization, the calculation gives 0.0 μB/cell. The space-group type is No. 123. Its crystal system is tetragonal.

a = 4.195 Å, b = 4.195 Å, c = 4.813 Å
α = 90.00°, β = 90.00°, γ = 90.00°
Element x y z (fractional)
Hf 0.000 0.500 0.000
Hf 0.500 0.000 0.000
Ti 0.000 0.000 0.500
In 0.500 0.500 0.500
H 0.500 0.500 0.000

[4]
Here is crystalline Hf2TiInH at its relaxed geometry from the Alexandria database. Energies are from PBE.

Values from the calculation:
For the energy above the lowest structure with this stoichiometry, the calculation gives 0 meV per atom. For the magnetization, the calculation gives 0.0 μB/cell. The space-group type is No. 123. Its crystal system is tetragonal.

a = 4.388 Å, b = 4.388 Å, c = 4.290 Å
α = 90.00°, β = 90.00°, γ = 90.00°
Element x y z (fractional)
Hf 0.000 0.500 0.000
Hf 0.500 0.000 0.000
Ti 0.000 0.000 0.500
In 0.500 0.500 0.500
H 0.000 0.000 0.000

Taking the records one at a time from the top gives energy values of -21.4, -33.1, -34.4, -35.1 eV/cell.